# In2TeCl

Crystalline In2TeCl at its relaxed geometry (PBE, Alexandria).

Final energy ... -3.061 eV/atom
DOS(E_F) ... 2.394 states/eV/f.u.
Magnetic moment ... 0.00 μB per atom
Formation energy (no corrections) ... -0.44 eV/atom
Mass density ... 5.12 g cm⁻³
E above lowest polymorph ... 0.1008 eV/atom

a b c (Å): 7.6132 7.6132 7.6132
angles (deg): 34.68 34.68 34.68
Last column: nearest neighbours and their distance in Å.
Atoms (fractional coordinates):
Te (0.2500, 0.2500, 0.2500)  6 In 3.16
Cl (0.7500, 0.7500, 0.7500)  6 In 3.19
In (0.5013, 0.5013, 0.5013)  3 Te 3.16, 3 Cl 3.19
In (0.9987, 0.9987, 0.9987)  3 Te 3.16, 3 Cl 3.19